(1)
# VPt3F

A relaxed VPt3F crystal (GGA+U, Alexandria).

Summary:
Polymorph energy (0 for the lowest one) (kJ per mole of atoms): 37.33
D(E_F) (states/eV per atom): 0.541
SG: Pm-3m (221)

abc: 4.670 4.670 4.670
angles: 90.00 90.00 90.00
Last column: magnetic moment on the atom in μB.
Atoms (fractional coordinates):
F 0.500 0.500 0.500  0.13
V 0.000 0.000 0.000  1.34
Pt 0.000 0.500 0.000  -0.07
Pt 0.500 0.000 0.000  -0.07
Pt 0.000 0.000 0.500  -0.07

(2)
# VPtF3

A relaxed VPtF3 crystal (GGA+U, Alexandria).

Summary:
Polymorph energy (0 for the lowest one) (kJ per mole of atoms): 0.00
D(E_F) (states/eV per atom): 2.232
SG: Pm-3m (221)

abc: 4.101 4.101 4.101
angles: 90.00 90.00 90.00
Last column: magnetic moment on the atom in μB.
Atoms (fractional coordinates):
F 0.500 0.000 0.000  -0.02
F 0.000 0.500 0.000  -0.02
F 0.000 0.000 0.500  -0.02
V 0.000 0.000 0.000  2.41
Pt 0.500 0.500 0.500  -0.69

(3)
# VPtF2

A relaxed VPtF2 crystal (GGA+U, Alexandria).

Summary:
Polymorph energy (0 for the lowest one) (kJ per mole of atoms): 64.09
D(E_F) (states/eV per atom): 0.403
SG: I-42d (122)

abc: 4.023 4.023 7.658
angles: 74.77 74.77 90.00
Last column: magnetic moment on the atom in μB.
Atoms (fractional coordinates):
Pt 0.000 0.000 0.000  0.17
Pt 0.750 0.250 0.500  0.17
V 0.250 0.750 0.500  2.35
V 0.500 0.500 0.000  2.35
F 0.875 0.801 0.750  0.02
F 0.199 0.625 0.250  0.02
F 0.551 0.125 0.250  0.02
F 0.375 0.449 0.750  0.02

(4)
# VPtF3

A relaxed VPtF3 crystal (GGA+U, Alexandria).

Summary:
Polymorph energy (0 for the lowest one) (kJ per mole of atoms): 77.94
D(E_F) (states/eV per atom): 1.808
SG: Pm-3m (221)

abc: 4.355 4.355 4.355
angles: 90.00 90.00 90.00
Last column: magnetic moment on the atom in μB.
Atoms (fractional coordinates):
V 0.500 0.500 0.500  3.21
Pt 0.000 0.000 0.000  -0.17
F 0.000 0.000 0.500  0.00
F 0.500 0.000 0.000  0.00
F 0.000 0.500 0.000  0.00

(5)
# VPt2F2

A relaxed VPt2F2 crystal (GGA+U, Alexandria).

Summary:
Polymorph energy (0 for the lowest one) (kJ per mole of atoms): 0.00
SG: I4/mmm (139)

abc: 3.356 3.356 6.448
angles: 74.91 74.91 90.00
Last column: magnetic moment on the atom in μB.
Atoms (fractional coordinates):
Pt 0.391 0.391 0.217  -0.31
Pt 0.609 0.609 0.783  -0.31
F 0.750 0.250 0.500  -0.05
F 0.250 0.750 0.500  -0.05
V 0.000 0.000 0.000  1.55

(6)
# V2PtF

A relaxed V2PtF crystal (GGA+U, Alexandria).

Summary:
Polymorph energy (0 for the lowest one) (kJ per mole of atoms): 31.77
D(E_F) (states/eV per atom): 1.105
SG: Fm-3m (225)

abc: 4.448 4.448 4.448
angles: 60.00 60.00 60.00
Last column: magnetic moment on the atom in μB.
Atoms (fractional coordinates):
V 0.750 0.750 0.750  2.59
V 0.250 0.250 0.250  2.59
F 0.000 0.000 0.000  0.06
Pt 0.500 0.500 0.500  -0.03

(7)
# VPtF2

A relaxed VPtF2 crystal (GGA+U, Alexandria).

Summary:
Polymorph energy (0 for the lowest one) (kJ per mole of atoms): 106.44
D(E_F) (states/eV per atom): 1.356
SG: Fm-3m (225)

abc: 4.231 4.231 4.231
angles: 60.00 60.00 60.00
Last column: magnetic moment on the atom in μB.
Atoms (fractional coordinates):
Pt 0.500 0.500 0.500  -0.33
F 0.750 0.750 0.750  -0.01
F 0.250 0.250 0.250  -0.01
V 0.000 0.000 0.000  2.54

(8)
# VPt2F2

A relaxed VPt2F2 crystal (GGA+U, Alexandria).

Summary:
Polymorph energy (0 for the lowest one) (kJ per mole of atoms): 44.35
D(E_F) (states/eV per atom): 0.758
SG: P4/mbm (127)

abc: 7.440 7.440 2.828
angles: 90.00 90.00 90.00
Last column: magnetic moment on the atom in μB.
Atoms (fractional coordinates):
F 0.781 0.281 0.500  0.08
F 0.719 0.781 0.500  0.08
F 0.219 0.719 0.500  0.08
F 0.281 0.219 0.500  0.08
V 0.500 0.500 0.000  3.08
V 0.000 0.000 0.000  3.08
Pt 0.116 0.384 0.000  0.27
Pt 0.384 0.884 0.000  0.27
Pt 0.884 0.616 0.000  0.27
Pt 0.616 0.116 0.000  0.27

Which of these has the highest polymorph energy (0 for the lowest one)? number 7

Number 6 is which compound? V2PtF

The highest polymorph energy (0 for the lowest one) belongs to which entry? number 7